1.
MgZn2B | the Open Quantum Materials Database | PBE-GGA | relaxed; ρ = 5018 kg/m3; V = 219.64 Å³ per cell; SG = No. 216
1.0
6.033 0.000 0.000
0.000 6.033 0.000
0.000 0.000 6.033
Mg Zn B
4 8 4
direct
0.000 0.000 0.000
0.000 0.500 0.500
0.500 0.000 0.500
0.500 0.500 0.000
0.000 0.000 0.500
0.000 0.500 0.000
0.250 0.250 0.250
0.250 0.750 0.750
0.500 0.000 0.000
0.500 0.500 0.500
0.750 0.250 0.750
0.750 0.750 0.250
0.250 0.250 0.750
0.250 0.750 0.250
0.750 0.250 0.250
0.750 0.750 0.750



2.
Nb2PdSe2S4 | the Open Quantum Materials Database | PBE-GGA | relaxed; excess energy over the best structure of this formula in the dataset = 0 meV per atom; total magnetization = 0.00 μB per formula unit; ρ = 4799 kg/m3; V = 200.12 Å³ per cell; SG = No. 12
1.0
6.586 -1.658 0.000
6.586 1.658 0.000
-5.146 0.000 9.162
Nb Pd Se S
2 1 2 4
direct
0.179 0.179 0.294
0.821 0.821 0.706
0.500 0.500 0.000
0.494 0.494 0.760
0.506 0.506 0.240
0.172 0.172 0.539
0.296 0.296 0.864
0.704 0.704 0.136
0.828 0.828 0.461



3.
DyMgHg6 | the Open Quantum Materials Database | PBE-GGA | relaxed; total magnetization = 0.00 μB per formula unit; ρ = 12343 kg/m3; V = 187.05 Å³ per cell; SG = No. 187
1.0
6.582 0.000 0.000
-3.291 5.700 0.000
0.000 0.000 4.986
Dy Mg Hg
1 1 6
direct
0.000 0.000 0.000
0.333 0.667 0.500
0.007 0.504 0.000
0.334 0.167 0.500
0.496 0.504 0.000
0.496 0.993 0.000
0.833 0.167 0.500
0.833 0.666 0.500



Number 1: total energy -34.0 eV/cell. Number 2: total energy -55.8 eV/cell. Number 3: total energy -9.5 eV/cell.